(1)
A geometry-optimized Mn2FeP structure, computed with PBE.

a = 3.9283 Å, b = 3.9283 Å, c = 3.9283 Å
α = 120.00°, β = 120.00°, γ = 90.00°
Last column: magnetic moment on the atom in μB.
Positions (direct):
P: 0.5000 0.5000 0.0000  0.04
Mn: 0.2500 0.7500 0.5000  -0.41
Mn: 0.0000 0.0000 0.0000  2.60
Fe: 0.7500 0.2500 0.5000  0.70

Values from the calculation:
Space-group type: F-43m (216)
DFT total energy (eV/atom): -8.31
Volume (Å³/atom): 10.72
DOS(E_F) (states/eV per atom): 0.719
Crystal system: cubic


(2)
A geometry-optimized MnFe2P structure, computed with PBE.

a = 4.0762 Å, b = 2.6042 Å, c = 4.0985 Å
α = 90.00°, β = 102.61°, γ = 90.00°
Last column: magnetic moment on the atom in μB.
Positions (direct):
Mn: 0.3065 0.5000 0.1434  1.14
P: 0.3551 0.0000 0.6153  -0.03
Fe: 0.8987 0.5000 0.5452  0.15
Fe: 0.7890 0.0000 0.0256  -0.58

Values from the calculation:
Space-group type: Pm (6)
DFT total energy (eV/atom): -8.08
Volume (Å³/atom): 10.61
DOS(E_F) (states/eV per atom): 0.825
Crystal system: monoclinic